Entry from the Alexandria database: KNbFe2 after structural relaxation (PBE-GGA).

```
data_KNbFe2
_chemical_formula_sum 'K4 Nb4 Fe8'
_cell_length_a 4.974
_cell_length_b 4.974
_cell_length_c 16.512
_cell_angle_alpha 90.00
_cell_angle_beta 90.00
_cell_angle_gamma 90.00
_space_group_name_H-M_alt 'I 41/a m d'
_space_group_IT_number 141
loop_
_space_group_symop_operation_xyz
'x,y,z'
'-x,-y,-z'
'-y+1/4,x+3/4,z+1/4'
'y+1/4,-x+3/4,-z+1/4'
'-x+1/2,-y,z+1/2'
'x+1/2,y,-z+1/2'
'y+1/4,-x+1/4,z+3/4'
'-y+1/4,x+1/4,-z+3/4'
'x,-y,-z'
'-x,y,z'
'-y+1/4,-x+1/4,-z+3/4'
'y+1/4,x+1/4,z+3/4'
'-x+1/2,y,-z+1/2'
'x+1/2,-y,z+1/2'
'y+1/4,x+3/4,-z+1/4'
'-y+1/4,-x+3/4,z+1/4'
'x+1/2,y+1/2,z+1/2'
'-x+1/2,-y+1/2,-z+1/2'
'-y+3/4,x+1/4,z+3/4'
'y+3/4,-x+1/4,-z+3/4'
'-x,-y+1/2,z'
'x,y+1/2,-z'
'y+3/4,-x+3/4,z+1/4'
'-y+3/4,x+3/4,-z+1/4'
'x+1/2,-y+1/2,-z+1/2'
'-x+1/2,y+1/2,z+1/2'
'-y+3/4,-x+3/4,-z+1/4'
'y+3/4,x+3/4,z+1/4'
'-x,y+1/2,-z'
'x,-y+1/2,z'
'y+3/4,x+1/4,-z+3/4'
'-y+3/4,-x+1/4,z+3/4'
loop_
_atom_site_label
_atom_site_type_symbol
_atom_site_fract_x
_atom_site_fract_y
_atom_site_fract_z
K1 K 0.000 0.250 0.375
Nb1 Nb 0.000 0.250 0.875
Fe1 Fe 0.000 0.000 0.000
```

Offset from the most stable computed form   0 meV/atom
Total magnetization   0.74 μB/atom
VASP energy   -91.322 eV per cell
Formation energy   1.316 eV per atom